1.
4
Lattice="0.000 3.277 3.277 3.277 0.000 3.277 3.277 3.277 0.000" Properties=species:S:1:pos:R:3 comment="GGA-PBE MgFeSnAu, relaxed" spacegroup="No. 216" density_g_cm3=9.3 crystal_system=cubic m_tot_mub_per_fu=2.184 relative_energy_ev_per_atom=0.000 pbc="T T T"
Mg 0.000 0.000 0.000
Fe 4.915 4.915 4.915
Sn 3.277 3.277 3.277
Au 1.638 1.638 1.638

2.
3
Lattice="0.000 3.287 3.287 3.287 0.000 3.287 3.287 3.287 0.000" Properties=species:S:1:pos:R:3 comment="GGA-PBE LiUGa, relaxed" spacegroup="No. 216" density_g_cm3=7.4 crystal_system=cubic m_tot_mub_per_fu=2.404 relative_energy_ev_per_atom=0.000 pbc="T T T"
Li 0.000 0.000 0.000
U 3.287 3.287 3.287
Ga 1.644 1.644 1.644

3.
5
Lattice="-1.902 1.902 3.984 1.902 -1.902 3.984 1.902 1.902 -3.984" Properties=species:S:1:pos:R:3 comment="GGA-PBE ScBe2Co2, relaxed" spacegroup="No. 139" density_g_cm3=5.2 crystal_system=tetragonal m_tot_mub_per_fu=0.004 relative_energy_ev_per_atom=0.000 pbc="T T T"
Sc 0.000 0.000 0.000
Be 0.000 0.000 2.891
Be 0.000 0.000 5.078
Co 1.902 0.000 1.992
Co 0.000 1.902 1.992

4.
6
Lattice="4.480 0.000 0.000 -2.240 3.880 0.000 0.000 0.000 6.944" Properties=species:S:1:pos:R:3 comment="GGA-PBE GdScGa2Au2, relaxed" total_energy_ev_per_atom=-4.6955 spacegroup="No. 187" density_g_cm3=10.1 crystal_system=hexagonal m_tot_mub_per_fu=0.030 pbc="T T T"
Gd 0.000 0.000 0.000
Sc 0.000 0.000 3.472
Ga 0.000 2.587 1.664
Ga 0.000 2.587 5.280
Au 2.240 1.293 1.956
Au 2.240 1.293 4.988

| no. | calculated volume (Å³/atom) |
| --- | --- |
| 1 | 17.6 |
| 2 | 23.7 |
| 3 | 11.5 |
| 4 | 20.1 |